# 1
An optimized crystal structure of TaV2Cl. Source: Alexandria via LeMat-Bulk, functional GGA-PBE.

The energy above the lowest structure with this stoichiometry comes out at 248.9 meV/atom.

Cell lengths 4.4508, 4.4508, 4.4508 Å; angles 60.00, 60.00, 60.00 degrees
With the nearest neighbours (Å) after each atom.
Atoms (fractional coordinates):
1 Cl 0.0000 0.0000 0.0000  8 V 2.73
2 V 0.7500 0.7500 0.7500  4 Cl 2.73, 4 Ta 2.73
3 V 0.2500 0.2500 0.2500  4 Ta 2.73, 4 Cl 2.73
4 Ta 0.5000 0.5000 0.5000  8 V 2.73

# 2
An optimized crystal structure of Y2Ni3P2. Source: Alexandria via LeMat-Bulk, functional GGA-PBE.

The formation energy from the elements comes out at -0.897 eV per atom.

Cell lengths 3.6729, 5.3279, 6.6971 Å; angles 115.78, 90.00, 110.16 degrees
With the nearest neighbours (Å) after each atom.
Atoms (fractional coordinates):
1 P 0.1516 0.3033 0.2199  5 Ni 2.31-2.40
2 P 0.8484 0.6967 0.7801  5 Ni 2.31-2.40
3 Y 0.1310 0.2621 0.7684  4 P 2.82-2.93, 7 Ni 2.98-3.10
4 Y 0.8690 0.7379 0.2316  4 P 2.82-2.93, 7 Ni 2.98-3.10
5 Ni 0.5000 0.0000 0.0000  4 P 2.40, 2 Ni 2.53
6 Ni 0.3583 0.7165 0.5737  3 P 2.31-2.33, 1 Ni 2.53
7 Ni 0.6417 0.2835 0.4263  3 P 2.31-2.33, 1 Ni 2.53

# 3
An optimized crystal structure of Rb2CrOsI6. Source: Alexandria via LeMat-Bulk, functional GGA-PBE.

The value obtained for the calculated total energy is -3.604 eV/atom.

Cell lengths 8.0230, 8.0230, 8.0345 Å; angles 60.05, 60.05, 90.00 degrees
With the nearest neighbours (Å) after each atom.
Atoms (fractional coordinates):
1 Rb 0.2500 0.7500 0.5000  12 I 4.01-4.02
2 Rb 0.7500 0.2500 0.5000  12 I 4.01-4.02
3 I 0.7573 0.2427 0.0000  1 Os 2.75, 1 Cr 2.92
4 I 0.2427 0.2427 0.0000  1 Os 2.75, 1 Cr 2.92
5 I 0.2420 0.2420 0.5160  1 Os 2.75, 1 Cr 2.94
6 I 0.2427 0.7573 0.0000  1 Os 2.75, 1 Cr 2.92
7 I 0.7580 0.7580 0.4840  1 Os 2.75, 1 Cr 2.94
8 I 0.7573 0.7573 0.0000  1 Os 2.75, 1 Cr 2.92
9 Cr 0.5000 0.5000 0.0000  6 I 2.92-2.94
10 Os 0.0000 0.0000 0.0000  6 I 2.75

# 4
An optimized crystal structure of SrY2W. Source: Alexandria via LeMat-Bulk, functional GGA-PBE.

The formation energy from the elements comes out at 0.818 eV per atom. The energy above the lowest structure with this stoichiometry comes out at 383.1 meV/atom.

Cell lengths 11.4995, 11.4995, 11.4995 Å; angles 17.23, 17.23, 17.23 degrees
With the nearest neighbours (Å) after each atom.
Atoms (fractional coordinates):
1 Y 0.0129 0.0129 0.0129  3 W 2.97
2 Y 0.2555 0.2555 0.2555  9 Y 3.45-3.67
3 Sr 0.4869 0.4869 0.4869  3 W 3.25, 6 Sr 3.45
4 W 0.7447 0.7447 0.7447  3 Y 2.97, 3 Sr 3.25